## Li2Ca2Ga5Pd (GGA-PBE)

Data for an optimized crystal structure of Li2Ca2Ga5Pd.

N(E_F) = 0.35 states/eV/atom
Total energy = -3.19 eV/atom
DFT formation energy = -0.3740 eV/atom

Cell lengths 10.457, 10.457, 3.492 Å; angles 90.00, 90.00, 90.00 degrees
Fractional positions:
Li1 0.128 0.372 0.000
Li2 0.372 0.872 0.000
Li3 0.628 0.128 0.000
Li4 0.872 0.628 0.000
Ca1 0.176 0.676 0.000
Ca2 0.324 0.176 0.000
Ca3 0.676 0.824 0.000
Ca4 0.824 0.324 0.000
Ga1 0.000 0.500 0.500
Ga2 0.053 0.186 0.500
Ga3 0.186 0.947 0.500
Ga4 0.314 0.447 0.500
Ga5 0.447 0.686 0.500
Ga6 0.500 0.000 0.500
Ga7 0.553 0.314 0.500
Ga8 0.686 0.553 0.500
Ga9 0.814 0.053 0.500
Ga10 0.947 0.814 0.500
Pd1 0.000 0.000 0.000
Pd2 0.500 0.500 0.000